{
  "formula": "Rb4GaSn3Br12",
  "functional": "PBE-GGA",
  "state": "relaxed",
  "cell": [[-5.7612, 5.7612, 5.7612], [5.7612, -5.7612, 5.7612], [5.7612, 5.7612, -5.7612]],
  "species": ["Rb", "Rb", "Rb", "Rb", "Ga", "Sn", "Sn", "Sn", "Br", "Br", "Br", "Br", "Br", "Br", "Br", "Br", "Br", "Br", "Br", "Br"],
  "fractional_positions": [[0.0000, 0.0000, 0.5000], [0.0000, 0.5000, 0.0000], [0.5000, 0.0000, 0.0000], [0.5000, 0.5000, 0.5000], [0.0000, 0.0000, 0.0000], [0.0000, 0.5000, 0.5000], [0.5000, 0.0000, 0.5000], [0.5000, 0.5000, 0.0000], [0.0000, 0.2455, 0.2455], [0.0000, 0.7545, 0.7545], [0.2455, 0.0000, 0.2455], [0.2455, 0.2455, 0.0000], [0.2500, 0.5000, 0.7500], [0.2500, 0.7500, 0.5000], [0.5000, 0.2500, 0.7500], [0.5000, 0.7500, 0.2500], [0.7500, 0.2500, 0.5000], [0.7500, 0.5000, 0.2500], [0.7545, 0.0000, 0.7545], [0.7545, 0.7545, 0.0000]],
  "m_tot_mub_per_fu": 0.00,
  "final_energy_ev_per_cell": -61.8,
  "sg": "Im-3m (229)",
  "dos_ef_per_ev_cell": 1.72,
  "density_g_cm3": 3.7,
  "e_form_raw_ev_per_fu": -22.8
}

{
  "formula": "Nd2DyTc",
  "functional": "PBE-GGA",
  "state": "relaxed",
  "cell": [[2.0012, -6.0492, 0.0000], [2.0012, 6.0492, 0.0000], [0.0000, 0.0000, 9.4424]],
  "species": ["Nd", "Nd", "Nd", "Nd", "Dy", "Dy", "Tc", "Tc"],
  "fractional_positions": [[0.1411, 0.8589, 0.5684], [0.1411, 0.8589, 0.9316], [0.8589, 0.1411, 0.0684], [0.8589, 0.1411, 0.4316], [0.4217, 0.5783, 0.7500], [0.5783, 0.4217, 0.2500], [0.2388, 0.7612, 0.2500], [0.7612, 0.2388, 0.7500]],
  "m_tot_mub_per_fu": 0.00,
  "final_energy_ev_per_cell": -49.1,
  "e_form_ev_per_atom": -0.01,
  "sg": "Cmcm (63)",
  "dos_ef_per_ev_cell": 6.28,
  "density_g_cm3": 8.0,
  "e_above_lowest_polymorph_mev_per_atom": 0
}

{
  "formula": "CuBiI3",
  "functional": "PBE-GGA",
  "state": "relaxed",
  "cell": [[8.3643, -2.0610, 0.0000], [8.3643, 2.0610, 0.0000], [-4.8216, 0.0000, 12.0091]],
  "species": ["Cu", "Cu", "Bi", "Bi", "I", "I", "I", "I", "I", "I"],
  "fractional_positions": [[0.0189, 0.0189, 0.1982], [0.9811, 0.9811, 0.8018], [0.4844, 0.4844, 0.3239], [0.5156, 0.5156, 0.6761], [0.1486, 0.1486, 0.8862], [0.3608, 0.3608, 0.4546], [0.3914, 0.3914, 0.8160], [0.6086, 0.6086, 0.1840], [0.6392, 0.6392, 0.5454], [0.8514, 0.8514, 0.1138]],
  "m_tot_mub_per_fu": 0.00,
  "final_energy_ev_per_cell": -27.1,
  "sg": "C2/m (12)",
  "dos_ef_per_ev_cell": 2.04,
  "density_g_cm3": 5.2,
  "e_above_lowest_polymorph_mev_per_atom": 0,
  "e_form_raw_ev_per_fu": -0.9
}

{
  "formula": "Ag6TePd8",
  "functional": "PBE-GGA",
  "state": "relaxed",
  "cell": [[4.0074, 2.3137, 4.7738], [-4.0074, 2.3137, 4.7738], [0.0000, -4.6273, 4.7738]],
  "species": ["Ag", "Ag", "Ag", "Ag", "Ag", "Ag", "Te", "Pd", "Pd", "Pd", "Pd", "Pd", "Pd", "Pd", "Pd"],
  "fractional_positions": [[0.1839, 0.4414, 0.6058], [0.3942, 0.8161, 0.5586], [0.4414, 0.6058, 0.1839], [0.5586, 0.3942, 0.8161], [0.6058, 0.1839, 0.4414], [0.8161, 0.5586, 0.3942], [0.0000, 0.0000, 0.0000], [0.0487, 0.8572, 0.3769], [0.1428, 0.6231, 0.9513], [0.2400, 0.2400, 0.2400], [0.3769, 0.0487, 0.8572], [0.6231, 0.9513, 0.1428], [0.7600, 0.7600, 0.7600], [0.8572, 0.3769, 0.0487], [0.9513, 0.1428, 0.6231]],
  "m_tot_mub_per_fu": 0.00,
  "final_energy_ev_per_cell": -61.7,
  "sg": "R-3 (148)",
  "dos_ef_per_ev_cell": 4.09,
  "density_g_cm3": 10.2,
  "e_form_raw_ev_per_fu": 0.1
}

{
  "formula": "SrCa2HoTl4",
  "functional": "PBE-GGA",
  "state": "relaxed",
  "cell": [[2.7623, 1.5948, 9.0514], [-2.7623, 1.5948, 9.0514], [0.0000, -3.1896, 9.0514]],
  "species": ["Sr", "Ca", "Ca", "Ho", "Tl", "Tl", "Tl", "Tl"],
  "fractional_positions": [[0.0000, 0.0000, 0.0000], [0.2497, 0.2497, 0.2497], [0.7503, 0.7503, 0.7503], [0.5000, 0.5000, 0.5000], [0.1271, 0.1271, 0.1271], [0.3800, 0.3800, 0.3800], [0.6200, 0.6200, 0.6200], [0.8729, 0.8729, 0.8729]],
  "m_tot_mub_per_fu": 0.00,
  "final_energy_ev_per_cell": -22.9,
  "e_form_ev_per_atom": -0.39,
  "sg": "R-3m (166)",
  "dos_ef_per_ev_cell": 4.74,
  "density_g_cm3": 8.0
}

{
  "formula": "BeCuOs",
  "functional": "PBE-GGA",
  "state": "relaxed",
  "cell": [[3.9444, 0.0000, 0.0000], [-1.9722, 3.4160, 0.0000], [0.0000, 0.0000, 2.5992]],
  "species": ["Be", "Cu", "Os"],
  "fractional_positions": [[0.0000, 0.0000, 0.0000], [0.6667, 0.3333, 0.0000], [0.3333, 0.6667, 0.5000]],
  "m_tot_mub_per_fu": 0.00,
  "final_energy_ev_per_cell": -18.4,
  "e_form_ev_per_atom": 0.21,
  "sg": "P-6m2 (187)",
  "dos_ef_per_ev_cell": 2.55,
  "density_g_cm3": 12.5,
  "e_above_lowest_polymorph_mev_per_atom": 86
}

{
  "formula": "CsLiNd2I8",
  "functional": "PBE-GGA",
  "state": "relaxed",
  "cell": [[8.0146, 0.0000, 0.0000], [-4.0073, 6.9409, 0.0000], [0.0000, 0.0000, 9.6930]],
  "species": ["Cs", "Li", "Nd", "Nd", "I", "I", "I", "I", "I", "I", "I", "I"],
  "fractional_positions": [[0.0000, 0.0000, 0.0000], [0.0000, 0.0000, 0.5000], [0.3333, 0.6667, 0.4066], [0.6667, 0.3333, 0.5934], [0.0678, 0.3569, 0.6539], [0.2891, 0.9322, 0.6539], [0.3333, 0.6667, 0.0922], [0.3569, 0.2891, 0.3461], [0.6431, 0.7109, 0.6539], [0.6667, 0.3333, 0.9078], [0.7109, 0.0678, 0.3461], [0.9322, 0.6431, 0.3461]],
  "m_tot_mub_per_fu": 0.00,
  "final_energy_ev_per_cell": -41.1,
  "sg": "P-3 (147)",
  "dos_ef_per_ev_cell": 0.00,
  "density_g_cm3": 4.4,
  "e_form_raw_ev_per_fu": -16.4
}

{
  "formula": "La2PbF",
  "functional": "PBE-GGA",
  "state": "relaxed",
  "cell": [[0.0000, 3.8137, 3.8137], [3.8137, 0.0000, 3.8137], [3.8137, 3.8137, 0.0000]],
  "species": ["La", "La", "Pb", "F"],
  "fractional_positions": [[0.2500, 0.2500, 0.2500], [0.7500, 0.7500, 0.7500], [0.0000, 0.0000, 0.0000], [0.5000, 0.5000, 0.5000]],
  "m_tot_mub_per_fu": 0.00,
  "final_energy_ev_per_cell": -20.5,
  "sg": "Fm-3m (225)",
  "dos_ef_per_ev_cell": 2.39,
  "density_g_cm3": 7.5,
  "e_above_lowest_polymorph_mev_per_atom": 267,
  "e_form_raw_ev_per_fu": -5.0
}

{
  "formula": "ThAl4Pb",
  "functional": "PBE-GGA",
  "state": "relaxed",
  "cell": [[0.0000, 4.0162, 4.0162], [4.0162, 0.0000, 4.0162], [4.0162, 4.0162, 0.0000]],
  "species": ["Th", "Al", "Al", "Al", "Al", "Pb"],
  "fractional_positions": [[0.0000, 0.0000, 0.0000], [0.1251, 0.6250, 0.6250], [0.6250, 0.1251, 0.6250], [0.6250, 0.6250, 0.1251], [0.6250, 0.6250, 0.6250], [0.2500, 0.2500, 0.2500]],
  "m_tot_mub_per_fu": 0.00,
  "final_energy_ev_per_cell": -26.8,
  "e_form_ev_per_atom": -0.12,
  "sg": "F-43m (216)",
  "dos_ef_per_ev_cell": 4.76,
  "density_g_cm3": 7.0
}

{
  "formula": "Pu3InS6",
  "functional": "PBE-GGA",
  "state": "relaxed",
  "cell": [[5.3270, -6.6139, 0.0000], [5.3270, 6.6139, 0.0000], [0.0000, 0.0000, 6.7591]],
  "species": ["Pu", "Pu", "Pu", "Pu", "Pu", "Pu", "In", "In", "S", "S", "S", "S", "S", "S", "S", "S", "S", "S", "S", "S"],
  "fractional_positions": [[0.0961, 0.9039, 0.5000], [0.2111, 0.4152, 0.4010], [0.4152, 0.2111, 0.9010], [0.5848, 0.7889, 0.4010], [0.7889, 0.5848, 0.9010], [0.9039, 0.0961, 0.0000], [0.3144, 0.6856, 0.9078], [0.6856, 0.3144, 0.4078], [0.0723, 0.5940, 0.6924], [0.1327, 0.1945, 0.7023], [0.1945, 0.1327, 0.2023], [0.2658, 0.7342, 0.2646], [0.4060, 0.9277, 0.6924], [0.4884, 0.5116, 0.0912], [0.5116, 0.4884, 0.5912], [0.5940, 0.0723, 0.1924], [0.7342, 0.2658, 0.7646], [0.8055, 0.8673, 0.7023], [0.8673, 0.8055, 0.2023], [0.9277, 0.4060, 0.1924]],
  "m_tot_mub_per_fu": 15.00,
  "final_energy_ev_per_cell": -168.1,
  "sg": "Cmc2_1 (36)",
  "dos_ef_per_ev_cell": 43.66,
  "density_g_cm3": 7.2,
  "e_form_raw_ev_per_fu": -13.5
}

{
  "formula": "Gd3Si5Te12",
  "functional": "PBE-GGA",
  "state": "relaxed",
  "cell": [[-8.5525, 8.5525, 8.5525], [8.5525, -8.5525, 8.5525], [8.5525, 8.5525, -8.5525]],
  "species": ["Gd", "Gd", "Gd", "Gd", "Gd", "Gd", "Gd", "Gd", "Gd", "Gd", "Gd", "Gd", "Si", "Si", "Si", "Si", "Si", "Si", "Si", "Si", "Si", "Si", "Si", "Si", "Si", "Si", "Si", "Si", "Si", "Si", "Si", "Si", "Te", "Te", "Te", "Te", "Te", "Te", "Te", "Te", "Te", "Te", "Te", "Te", "Te", "Te", "Te", "Te", "Te", "Te", "Te", "Te", "Te", "Te", "Te", "Te", "Te", "Te", "Te", "Te", "Te", "Te", "Te", "Te", "Te", "Te", "Te", "Te", "Te", "Te", "Te", "Te", "Te", "Te", "Te", "Te", "Te", "Te", "Te", "Te"],
  "fractional_positions": [[0.1250, 0.2500, 0.3750], [0.1250, 0.3750, 0.7500], [0.2500, 0.3750, 0.1250], [0.2500, 0.8750, 0.6250], [0.3750, 0.1250, 0.2500], [0.3750, 0.7500, 0.1250], [0.6250, 0.2500, 0.8750], [0.6250, 0.8750, 0.7500], [0.7500, 0.1250, 0.3750], [0.7500, 0.6250, 0.8750], [0.8750, 0.6250, 0.2500], [0.8750, 0.7500, 0.6250], [0.0000, 0.0000, 0.0000], [0.0000, 0.0000, 0.5000], [0.0000, 0.5000, 0.0000], [0.0000, 0.5000, 0.5000], [0.1250, 0.7500, 0.8750], [0.1250, 0.8750, 0.2500], [0.2500, 0.1250, 0.8750], [0.2500, 0.6250, 0.3750], [0.3750, 0.2500, 0.6250], [0.3750, 0.6250, 0.7500], [0.5000, 0.0000, 0.0000], [0.5000, 0.0000, 0.5000], [0.5000, 0.5000, 0.0000], [0.5000, 0.5000, 0.5000], [0.6250, 0.3750, 0.2500], [0.6250, 0.7500, 0.3750], [0.7500, 0.3750, 0.6250], [0.7500, 0.8750, 0.1250], [0.8750, 0.1250, 0.7500], [0.8750, 0.2500, 0.1250], [0.0342, 0.2120, 0.1259], [0.0342, 0.3222, 0.9084], [0.0862, 0.7120, 0.6778], [0.0862, 0.8741, 0.4084], [0.0916, 0.6259, 0.4138], [0.0916, 0.9658, 0.6778], [0.1259, 0.0342, 0.2120], [0.1259, 0.5916, 0.9138], [0.1778, 0.2120, 0.5862], [0.1778, 0.4658, 0.5916], [0.2120, 0.1259, 0.0342], [0.2120, 0.5862, 0.1778], [0.2880, 0.3222, 0.9138], [0.2880, 0.4658, 0.3741], [0.3222, 0.9084, 0.0342], [0.3222, 0.9138, 0.2880], [0.3741, 0.2880, 0.4658], [0.3741, 0.5862, 0.9084], [0.4084, 0.0862, 0.8741], [0.4084, 0.8222, 0.5342], [0.4138, 0.0916, 0.6259], [0.4138, 0.8222, 0.7880], [0.4658, 0.3741, 0.2880], [0.4658, 0.5916, 0.1778], [0.5342, 0.4084, 0.8222], [0.5342, 0.6259, 0.7120], [0.5862, 0.1778, 0.2120], [0.5862, 0.9084, 0.3741], [0.5916, 0.1778, 0.4658], [0.5916, 0.9138, 0.1259], [0.6259, 0.4138, 0.0916], [0.6259, 0.7120, 0.5342], [0.6778, 0.0862, 0.7120], [0.6778, 0.0916, 0.9658], [0.7120, 0.5342, 0.6259], [0.7120, 0.6778, 0.0862], [0.7880, 0.4138, 0.8222], [0.7880, 0.8741, 0.9658], [0.8222, 0.5342, 0.4084], [0.8222, 0.7880, 0.4138], [0.8741, 0.4084, 0.0862], [0.8741, 0.9658, 0.7880], [0.9084, 0.0342, 0.3222], [0.9084, 0.3741, 0.5862], [0.9138, 0.1259, 0.5916], [0.9138, 0.2880, 0.3222], [0.9658, 0.6778, 0.0916], [0.9658, 0.7880, 0.8741]],
  "m_tot_mub_per_fu": 20.96,
  "final_energy_ev_per_cell": -463.5,
  "sg": "Ia-3d (230)",
  "dos_ef_per_ev_cell": 39.87,
  "density_g_cm3": 5.7,
  "e_form_raw_ev_per_fu": -8.8
}

{
  "formula": "BaLiTm",
  "functional": "PBE-GGA",
  "state": "relaxed",
  "cell": [[17.3655, 0.0000, 0.0000], [0.0000, 1.8967, 3.2765], [0.0000, -1.8967, 3.2765]],
  "species": ["Ba", "Ba", "Li", "Li", "Tm", "Tm"],
  "fractional_positions": [[0.1795, 0.0000, 0.0000], [0.8205, 0.0000, 0.0000], [0.0000, 0.6630, 0.6630], [0.5000, 0.9999, 0.9999], [0.3630, 0.6658, 0.6658], [0.6370, 0.6658, 0.6658]],
  "m_tot_mub_per_fu": 0.00,
  "final_energy_ev_per_cell": -14.9,
  "e_form_ev_per_atom": 0.29,
  "sg": "Amm2 (38)",
  "dos_ef_per_ev_cell": 8.09,
  "density_g_cm3": 4.8
}